Entry 1:
The following is a GGA-PBE calculation of a relaxed Ag2AsSe crystal, from Alexandria.

Total magnetic moment, Bohr magnetons per cell: 0.00
Crystal system: trigonal
Formation energy from raw total energies, eV per formula unit: 0.7

Cell: 3.5818 3.5818 21.9469 Å, 90.00 90.00 120.00°
Space group R-3m (No. 166, hexagonal axes)
One atom of each set of equivalent atoms:
Ag  0.0000  0.0000  0.2488
As  0.0000  0.0000  0.5000
Se  0.0000  0.0000  0.0000

***

Entry 2:
The following is a GGA-PBE calculation of a relaxed CuSbTe2Cl crystal, from Alexandria.

Total magnetic moment, Bohr magnetons per cell: 0.00
Crystal system: tetragonal
E above lowest polymorph, meV/atom: 731
Formation energy from raw total energies, eV per formula unit: 5.2

Cell: 5.561 5.561 5.109 Å, 90.00 90.00 90.00°
Space group P4/mmm (No. 123)
One atom of each set of equivalent atoms:
Cu  0.000  0.000  0.000
Sb  0.500  0.500  0.000
Te  0.000  0.500  0.500
Cl  0.500  0.500  0.500

***

Entry 3:
The following is a GGA-PBE calculation of a relaxed SmThTlAg crystal, from Alexandria.

Total magnetic moment, Bohr magnetons per cell: 2.81
Crystal system: cubic
Formation energy, eV per atom: -0.1643

Cell: 7.635 7.635 7.635 Å, 90.00 90.00 90.00°
Space group F-43m (No. 216)
One atom of each set of equivalent atoms:
Sm  0.000  0.000  0.000
Th  0.000  0.000  0.500
Tl  0.250  0.250  0.250
Ag  0.250  0.250  0.750

***

Entry 4:
The following is a GGA-PBE calculation of a relaxed CdCoNiSn crystal, from Alexandria.

Total magnetic moment, Bohr magnetons per cell: 2.51
Crystal system: cubic
Formation energy, eV per atom: 0.0666

Cell: 6.264 6.264 6.264 Å, 90.00 90.00 90.00°
Space group F-43m (No. 216)
One atom of each set of equivalent atoms:
Cd  0.000  0.000  0.000
Co  0.250  0.250  0.750
Ni  0.250  0.250  0.250
Sn  0.000  0.000  0.500

***

Entry 5:
The following is a GGA-PBE calculation of a relaxed SrCaAsBr2 crystal, from Alexandria.

Total magnetic moment, Bohr magnetons per cell: 0.96
Crystal system: tetragonal
E above lowest polymorph, meV/atom: 270
Formation energy from raw total energies, eV per formula unit: -4.4

Cell: 5.663 5.663 6.099 Å, 90.00 90.00 90.00°
Space group P4/mmm (No. 123)
One atom of each set of equivalent atoms:
Sr  0.000  0.000  0.000
Ca  0.500  0.500  0.500
As  0.000  0.000  0.500
Br  0.000  0.500  0.000

***

Entry 6:
The following is a GGA-PBE calculation of a relaxed KSrCdAu crystal, from Alexandria.

Total magnetic moment, Bohr magnetons per cell: 0.00
Crystal system: cubic
Formation energy, eV per atom: -0.2506

Cell: 8.008 8.008 8.008 Å, 90.00 90.00 90.00°
Space group F-43m (No. 216)
One atom of each set of equivalent atoms:
K  0.000  0.000  0.000
Sr  0.000  0.000  0.500
Cd  0.250  0.250  0.250
Au  0.250  0.250  0.750

***

Entry 7:
The following is a GGA-PBE calculation of a relaxed CaMgAu2 crystal, from Alexandria.

Total magnetic moment, Bohr magnetons per cell: 0.00
Crystal system: tetragonal
Formation energy, eV per atom: -0.5449

Cell: 3.857 3.857 6.074 Å, 90.00 90.00 90.00°
Space group P4mm (No. 99)
One atom of each set of equivalent atoms:
Ca  0.000  0.000  0.000
Mg  0.500  0.500  0.362
Au  0.000  0.000  0.490
Au  0.500  0.500  0.813

***

Entry 8:
The following is a GGA-PBE calculation of a relaxed Sc2CdP crystal, from Alexandria.

Total magnetic moment, Bohr magnetons per cell: 0.46
Crystal system: monoclinic
Formation energy, eV per atom: -0.6734
E above lowest polymorph, meV/atom: 151

Cell: 3.383 3.477 6.733 Å, 90.00 95.33 90.00°
Space group P2/m (No. 10)
One atom of each set of equivalent atoms:
Sc  0.055  0.000  0.286
Cd  0.500  0.500  0.000
P  0.500  0.500  0.500